1.
A plane-wave DFT calculation with GGA-PBEsol was carried out for an optimized crystal structure of AlCdAu2.

Results
Crystal system: tetragonal
ΔE_f in eV/atom: -0.29
Fermi-level density of states in states/eV/cell: 0.94
Distance to the lowest polymorph of the same formula in meV/atom: 0
Volume in Å³/atom: 17.01

Unit cell a=3.191 b=3.191 c=6.681 alpha=90.00 beta=90.00 gamma=90.00
Space group P4/mmm (No. 123)
One atom of each set of equivalent atoms:
Al 0.000 0.000 0.000 x1
Cd 0.000 0.000 0.500 x1
Au 0.500 0.500 0.218 x2

***

2.
A plane-wave DFT calculation with GGA-PBEsol was carried out for an optimized crystal structure of GaIr2PtCl.

Results
Total DFT energy (no corrections) in eV per atom: -4.831
Crystal system: tetragonal
Fermi-level density of states in states/eV/cell: 6.89
Volume in Å³/atom: 19.43

Unit cell a=4.604 b=4.604 c=4.584 alpha=90.00 beta=90.00 gamma=90.00
Space group P4/mmm (No. 123)
One atom of each set of equivalent atoms:
Ga 0.000 0.000 0.000 x1
Ir 0.000 0.500 0.000 x2
Pt 0.000 0.000 0.500 x1
Cl 0.500 0.500 0.500 x1

***

3.
A plane-wave DFT calculation with GGA-PBEsol was carried out for an optimized crystal structure of YHfZr2Cu.

Results
Crystal system: tetragonal
ΔE_f in eV/atom: 1.26
Fermi-level density of states in states/eV/cell: 6.10
Volume in Å³/atom: 27.59

Unit cell a=5.043 b=5.043 c=5.423 alpha=90.00 beta=90.00 gamma=90.00
Space group P4/mmm (No. 123)
One atom of each set of equivalent atoms:
Y 0.000 0.000 0.000 x1
Hf 0.000 0.000 0.500 x1
Zr 0.000 0.500 0.500 x2
Cu 0.500 0.500 0.000 x1

***

Copy entry 1 word for word.
A plane-wave DFT calculation with GGA-PBEsol was carried out for an optimized crystal structure of AlCdAu2.

Results
Crystal system: tetragonal
ΔE_f in eV/atom: -0.29
Fermi-level density of states in states/eV/cell: 0.94
Distance to the lowest polymorph of the same formula in meV/atom: 0
Volume in Å³/atom: 17.01

Unit cell a=3.191 b=3.191 c=6.681 alpha=90.00 beta=90.00 gamma=90.00
Space group P4/mmm (No. 123)
One atom of each set of equivalent atoms:
Al 0.000 0.000 0.000 x1
Cd 0.000 0.000 0.500 x1
Au 0.500 0.500 0.218 x2

***

Repeat the first record exactly.
A plane-wave DFT calculation with GGA-PBEsol was carried out for an optimized crystal structure of AlCdAu2.

Results
Crystal system: tetragonal
ΔE_f in eV/atom: -0.29
Fermi-level density of states in states/eV/cell: 0.94
Distance to the lowest polymorph of the same formula in meV/atom: 0
Volume in Å³/atom: 17.01

Unit cell a=3.191 b=3.191 c=6.681 alpha=90.00 beta=90.00 gamma=90.00
Space group P4/mmm (No. 123)
One atom of each set of equivalent atoms:
Al 0.000 0.000 0.000 x1
Cd 0.000 0.000 0.500 x1
Au 0.500 0.500 0.218 x2